IOF2 after structural relaxation, computed with PBE. Values from VASP.

## Properties
Energy above the lowest structure with this stoichiometry in meV/atom: 0

Cell and atoms, written as Quantum ESPRESSO input:
```
&SYSTEM
  ibrav = 0, nat = 8, ntyp = 3
/
ATOMIC_SPECIES
I 126.90 I.upf
O 16.00 O.upf
F 19.00 F.upf
CELL_PARAMETERS angstrom
3.838 0.000 0.000
0.000 6.941 0.000
-1.536 0.000 5.004
ATOMIC_POSITIONS angstrom
I 0.228 1.735 1.635
I 2.075 5.206 3.370
O 0.537 5.206 4.362
O 1.766 1.735 0.642
F 0.161 3.752 1.519
F 0.161 6.661 1.519
F 2.142 0.281 3.485
F 2.142 3.190 3.485
```



Pa4SiC2 after structural relaxation, computed with PBE. Values from VASP.

Cell and atoms, written as Quantum ESPRESSO input:
```
&SYSTEM
  ibrav = 0, nat = 14, ntyp = 3
/
ATOMIC_SPECIES
Pa 231.04 Pa.upf
Si 28.09 Si.upf
C 12.01 C.upf
CELL_PARAMETERS angstrom
1.845 -6.130 0.000
1.845 6.130 0.000
0.000 0.000 11.923
ATOMIC_POSITIONS angstrom
Pa 0.000 0.000 0.000
Pa 0.000 0.000 5.961
Pa 1.845 2.797 7.400
Pa 1.845 2.797 10.484
Pa 1.845 0.946 2.981
Pa 1.845 -0.946 8.942
Pa 1.845 -2.797 1.439
Pa 1.845 -2.797 4.523
Si 1.845 4.991 2.981
Si 1.845 -4.991 8.942
C 1.845 1.727 0.671
C 1.845 1.727 5.290
C 1.845 -1.727 6.633
C 1.845 -1.727 11.252
```



Number 1: raw formation energy -941 meV/atom, calculated total energy -28.03 eV/cell. Number 2: raw formation energy -349 meV/atom, calculated total energy -128.59 eV/cell.